Here is crystalline Ta2GaIr at its relaxed geometry from Alexandria via LeMat-Bulk. Energies are from PBE-GGA.

Calculated values
ρ, g cm⁻³: 10.4
Uncorrected energy, eV per atom: -7.8437
Total magnetic moment, μB per cell: 0.00
Space-group type: No. 122

```
Ta2GaIr
1.0
-2.932 2.932 5.806
2.932 -2.932 5.806
2.932 2.932 -5.806
Ta Ga Ir
4 2 2
Direct
0.114 0.625 0.989
0.375 0.364 0.489
0.636 0.125 0.011
0.875 0.886 0.511
0.250 0.750 0.500
0.500 0.500 0.000
0.000 0.000 0.000
0.750 0.250 0.500
```

Here is crystalline TaGa3Ir at its relaxed geometry from Alexandria via LeMat-Bulk. Energies are from PBE-GGA.

Calculated values
ρ, g cm⁻³: 8.3
Uncorrected energy, eV per atom: -4.6119
Total magnetic moment, μB per cell: 0.47
Polymorph energy (0 for the lowest one), eV per formula unit: 3.32
Space-group type: No. 221

```
TaGa3Ir
1.0
4.888 0.000 0.000
0.000 4.888 0.000
0.000 0.000 4.888
Ta Ga Ir
1 3 1
Direct
0.000 0.000 0.000
0.000 0.000 0.500
0.000 0.500 0.000
0.500 0.000 0.000
0.500 0.500 0.500
```

Here is crystalline TaGa2Ir3 at its relaxed geometry from Alexandria via LeMat-Bulk. Energies are from PBE-GGA.

Calculated values
ρ, g cm⁻³: 16.7
Uncorrected energy, eV per atom: -7.9377
Total magnetic moment, μB per cell: 0.00
Space-group type: No. 123

```
TaGa2Ir3
1.0
2.943 0.000 0.000
0.000 2.943 0.000
0.000 0.000 10.290
Ta Ga Ir
1 2 3
Direct
0.000 0.000 0.000
0.000 0.000 0.342
0.000 0.000 0.658
0.500 0.500 0.185
0.500 0.500 0.500
0.500 0.500 0.815
```

Here is crystalline TaGa4Ir5 at its relaxed geometry from Alexandria via LeMat-Bulk. Energies are from PBE-GGA.

Calculated values
ρ, g cm⁻³: 16.1
Uncorrected energy, eV per atom: -7.3000
Total magnetic moment, μB per cell: 0.00
Space-group type: No. 123

```
TaGa4Ir5
1.0
2.964 0.000 0.000
0.000 2.964 0.000
0.000 0.000 16.654
Ta Ga Ir
1 4 5
Direct
0.000 0.000 0.000
0.000 0.000 0.210
0.000 0.000 0.403
0.000 0.000 0.597
0.000 0.000 0.790
0.500 0.500 0.115
0.500 0.500 0.306
0.500 0.500 0.500
0.500 0.500 0.694
0.500 0.500 0.885
```

Here is crystalline Ta2Ga4Ir at its relaxed geometry from Alexandria via LeMat-Bulk. Energies are from PBE-GGA.

Calculated values
ρ, g cm⁻³: 11.8
Uncorrected energy, eV per atom: -6.4778
Total magnetic moment, μB per cell: 0.00
Space-group type: No. 12

```
Ta2Ga4Ir
1.0
7.178 -1.480 0.000
7.178 1.480 0.000
-2.492 0.000 5.522
Ta Ga Ir
2 4 1
Direct
0.228 0.228 0.210
0.772 0.772 0.790
0.098 0.098 0.737
0.400 0.400 0.637
0.600 0.600 0.363
0.902 0.902 0.263
0.000 0.000 0.000
```

Here is crystalline Tb2TaGa3Ir4 at its relaxed geometry from Alexandria via LeMat-Bulk. Energies are from PBE-GGA.

Calculated values
ρ, g cm⁻³: 13.0
Uncorrected energy, eV per atom: -7.2552
Total magnetic moment, μB per cell: 0.00
Space-group type: No. 115

```
Tb2TaGa3Ir4
1.0
4.198 0.000 0.000
0.000 4.198 0.000
0.000 0.000 10.695
Tb Ta Ga Ir
2 1 3 4
Direct
0.000 0.500 0.225
0.500 0.000 0.775
0.000 0.000 0.500
0.000 0.500 0.873
0.500 0.000 0.127
0.500 0.500 0.500
0.000 0.000 0.000
0.000 0.500 0.640
0.500 0.000 0.360
0.500 0.500 0.000
```

Here is crystalline Th2TaGa3Ir4 at its relaxed geometry from Alexandria via LeMat-Bulk. Energies are from PBE-GGA.

Calculated values
ρ, g cm⁻³: 14.0
Uncorrected energy, eV per atom: -7.8455
Total magnetic moment, μB per cell: 0.00
Space-group type: No. 115

```
Th2TaGa3Ir4
1.0
4.252 0.000 0.000
0.000 4.252 0.000
0.000 0.000 10.643
Th Ta Ga Ir
2 1 3 4
Direct
0.000 0.500 0.235
0.500 0.000 0.765
0.000 0.000 0.500
0.000 0.500 0.875
0.500 0.000 0.125
0.500 0.500 0.500
0.000 0.000 0.000
0.000 0.500 0.641
0.500 0.000 0.359
0.500 0.500 0.000
```

Here is crystalline Ta2TiGa2Ir2 at its relaxed geometry from Alexandria via LeMat-Bulk. Energies are from PBE-GGA.

Calculated values
ρ, g cm⁻³: 12.7
Uncorrected energy, eV per atom: -8.3940
Total magnetic moment, μB per cell: 0.00
Space-group type: No. 166

```
Ta2TiGa2Ir2
1.0
2.179 1.258 7.443
-2.179 1.258 7.443
0.000 -2.516 7.443
Ta Ti Ga Ir
2 1 2 2
Direct
0.124 0.124 0.124
0.876 0.876 0.876
0.000 0.000 0.000
0.388 0.388 0.388
0.612 0.612 0.612
0.242 0.242 0.242
0.758 0.758 0.758
```

For the records above, the corresponding formation energy from the elements values read 1.055, 1.347, -0.523, -0.473, -0.096, -0.691, -0.724, -0.483 eV/atom.